Below is an optimized crystal structure of BaAl3Cr, with properties calculated at the PBE level.

Its density of states at the Fermi level is 1.66 states/eV/f.u. The calculated formation energy comes out at 0.0 eV/f.u. As for the energy above the most stable polymorph in this dataset: 0.000 eV/atom.

It has space group Pm-3m (No. 221), with a = 4.8801 Å, b = 4.8801 Å, c = 4.8801 Å, α = 90.00°, β = 90.00° and γ = 90.00°. The inequivalent atoms are Ba at (0.0000, 0.0000, 0.0000), Al at (0.0000, 0.5000, 0.5000) and Cr at (0.5000, 0.5000, 0.5000).


Below is an optimized crystal structure of MgBeAu2, with properties calculated at the PBE level.

Its density of states at the Fermi level is 1.19 states/eV/f.u. The calculated formation energy comes out at -0.9 eV/f.u. As for the energy above the most stable polymorph in this dataset: 0.118 eV/atom.

It has space group Pm (No. 6), with a = 3.1999 Å, b = 4.4831 Å, c = 4.7989 Å, α = 90.00°, β = 90.16° and γ = 90.00°. The inequivalent atoms are Mg at (0.0000, 0.0000, 0.0000), Be at (0.5150, 0.5000, 0.3287), Au at (0.5003, 0.0000, 0.4793) and Au at (0.4998, 0.5000, 0.8458).


Below is an optimized crystal structure of V2ReRh4, with properties calculated at the PBE level.

Its density of states at the Fermi level is 9.70 states/eV/f.u. The calculated formation energy comes out at 1.4 eV/f.u. As for the energy above the most stable polymorph in this dataset: 0.269 eV/atom.

It has space group I-42d (No. 122), with a = 7.4766 Å, b = 7.4766 Å, c = 7.5534 Å, α = 90.00°, β = 90.00° and γ = 90.00°. The inequivalent atoms are V at (0.1208, 0.7500, 0.1250), Re at (0.0000, 0.0000, 0.5000) and Rh at (0.0833, 0.6680, 0.4593).


Below is an optimized crystal structure of HfAl2Tc2, with properties calculated at the PBE level.

Its density of states at the Fermi level is 6.62 states/eV/f.u. The calculated formation energy comes out at -1.2 eV/f.u. As for the energy above the most stable polymorph in this dataset: 0.130 eV/atom.

It has space group P4/mbm (No. 127), with a = 7.0892 Å, b = 7.0892 Å, c = 3.2190 Å, α = 90.00°, β = 90.00° and γ = 90.00°. The inequivalent atoms are Hf at (0.0000, 0.0000, 0.0000), Al at (0.1403, 0.3597, 0.5000) and Tc at (0.1540, 0.6540, 0.0000).


Below is an optimized crystal structure of Cr2IrCl, with properties calculated at the PBE level.

Its density of states at the Fermi level is 3.10 states/eV/f.u. Its uncorrected formation energy is 0.67 eV per atom. As for the energy above the most stable polymorph in this dataset: 0.591 eV/atom.

It has space group Pmmm (No. 47), with a = 2.9334 Å, b = 4.4448 Å, c = 4.5635 Å, α = 90.00°, β = 90.00° and γ = 90.00°. The inequivalent atoms are Cr at (0.0000, 0.0000, 0.0000), Cr at (0.5000, 0.0000, 0.5000), Ir at (0.0000, 0.5000, 0.5000) and Cl at (0.5000, 0.5000, 0.0000).


Below is an optimized crystal structure of Nd2PuAl6, with properties calculated at the PBE level.

Its density of states at the Fermi level is 8.45 states/eV/f.u. The calculated formation energy comes out at -3.5 eV/f.u.

It has space group P6/mmm (No. 191), with a = 8.0220 Å, b = 8.0220 Å, c = 3.5799 Å, α = 90.00°, β = 90.00° and γ = 120.00°. The inequivalent atoms are Nd at (0.3333, 0.6667, 0.0000), Pu at (0.0000, 0.0000, 0.0000) and Al at (0.0000, 0.3308, 0.5000).